1.
A plane-wave DFT calculation with PBE was carried out for a relaxed structure of PmYOs.

Properties
Distance to the lowest polymorph of the same formula in eV per atom: 0.0018
DFT total energy in eV/cell: -45.7
Volume in Å³/cell: 159.5
Space-group type: No. 2
D(E_F) in states/eV per cell: 2.90
Density in g/cm³: 8.829

a = 3.4427 Å, b = 6.8565 Å, c = 7.1792 Å
α = 76.18°, β = 76.21°, γ = 89.93°
With the nearest neighbours (Å) after each atom.
Fractional positions:
1 Pm 0.1259 0.0648 0.2469  4 Os 2.98
2 Pm 0.8741 0.9352 0.7531  4 Os 2.98
3 Y 0.1218 0.5599 0.2545  4 Os 2.93-2.94
4 Y 0.8782 0.4401 0.7455  4 Os 2.93-2.94
5 Os 0.4994 0.2515 0.5013  4 Y 2.93-2.94, 4 Pm 2.98
6 Os 0.5006 0.7485 0.4987  4 Y 2.93-2.94, 4 Pm 2.98


2.
A plane-wave DFT calculation with PBE was carried out for a relaxed structure of PrDy2Tm2Sc2.

Properties
DFT total energy in eV/cell: -70.1
Volume in Å³/cell: 416.0
Space-group type: No. 71
D(E_F) in states/eV per cell: 26.45
Density in g/cm³: 7.134

a = 3.4215 Å, b = 5.4129 Å, c = 22.4631 Å
α = 90.00°, β = 90.00°, γ = 90.00°
With the nearest neighbours (Å) after each atom.
Fractional positions:
1 Pr 0.0000 0.0000 0.0000  2 Pr 3.42, 8 Dy 3.60, 4 Sc 3.71
2 Pr 0.5000 0.5000 0.5000  2 Pr 3.42, 8 Dy 3.60, 4 Sc 3.71
3 Dy 0.0000 0.0000 0.4265  2 Sc 3.16, 3 Dy 3.30-3.42, 2 Tm 3.48
4 Dy 0.0000 0.0000 0.5735  2 Sc 3.16, 3 Dy 3.30-3.42, 2 Tm 3.48
5 Dy 0.5000 0.5000 0.0735  2 Sc 3.16, 3 Dy 3.30-3.42, 2 Tm 3.48
6 Dy 0.5000 0.5000 0.9265  2 Sc 3.16, 3 Dy 3.30-3.42, 2 Tm 3.48
7 Tm 0.0000 0.5000 0.2082  5 Sc 3.27-3.49, 2 Tm 3.42, 2 Dy 3.48
8 Tm 0.0000 0.5000 0.7918  5 Sc 3.27-3.49, 2 Tm 3.42, 2 Dy 3.48
9 Tm 0.5000 0.0000 0.2918  5 Sc 3.27-3.49, 2 Tm 3.42, 2 Dy 3.48
10 Tm 0.5000 0.0000 0.7082  5 Sc 3.27-3.49, 2 Tm 3.42, 2 Dy 3.48
11 Sc 0.0000 0.5000 0.3536  2 Dy 3.16, 5 Tm 3.27-3.49, 2 Sc 3.42
12 Sc 0.0000 0.5000 0.6464  2 Dy 3.16, 5 Tm 3.27-3.49, 2 Sc 3.42
13 Sc 0.5000 0.0000 0.1464  2 Dy 3.16, 5 Tm 3.27-3.49, 2 Sc 3.42
14 Sc 0.5000 0.0000 0.8536  2 Dy 3.16, 5 Tm 3.27-3.49, 2 Sc 3.42